Record 1
Below is HoNpFe2O6 after structural relaxation, with properties calculated at the GGA+U level.

Properties
N(E_F) = 0.82 states/eV per atom
Total energy = -8.31 eV per atom
Total magnetization = 0.6000 μB per atom

CIF file:
```
data_HoNpFe2O6
_chemical_formula_sum 'Ho1 Np1 Fe2 O6'
_space_group_name_H-M_alt 'P 1'
_space_group_IT_number 1
_cell_length_a 5.511
_cell_length_b 5.543
_cell_length_c 5.850
_cell_angle_alpha 90.20
_cell_angle_beta 117.17
_cell_angle_gamma 119.66
loop_
_space_group_symop_operation_xyz
'x,y,z'
loop_
_atom_site_label
_atom_site_type_symbol
_atom_site_fract_x
_atom_site_fract_y
_atom_site_fract_z
Ho1 Ho 0.000 0.000 0.000
Np1 Np 0.990 0.492 0.480
Fe1 Fe 0.575 0.281 0.859
Fe2 Fe 0.595 0.810 0.381
O1 O 0.100 0.204 0.684
O2 O 0.109 0.413 0.203
O3 O 0.487 0.889 0.675
O4 O 0.506 0.103 0.178
O5 O 0.792 0.700 0.207
O6 O 0.805 0.578 0.700
```

Record 2
Below is HoNpFeO6 after structural relaxation, with properties calculated at the GGA+U level.

Properties
Total energy = -8.35 eV per atom
Total magnetization = 0.6667 μB per atom

CIF file:
```
data_HoNpFeO6
_chemical_formula_sum 'Ho2 Np2 Fe2 O12'
_space_group_name_H-M_alt 'P 1'
_space_group_IT_number 1
_cell_length_a 5.565
_cell_length_b 5.565
_cell_length_c 8.772
_cell_angle_alpha 90.00
_cell_angle_beta 90.00
_cell_angle_gamma 120.00
loop_
_space_group_symop_operation_xyz
'x,y,z'
loop_
_atom_site_label
_atom_site_type_symbol
_atom_site_fract_x
_atom_site_fract_y
_atom_site_fract_z
Ho1 Ho 0.333 0.667 0.250
Ho2 Ho 0.667 0.333 0.750
Np1 Np 0.333 0.667 0.750
Np2 Np 0.667 0.333 0.250
Fe1 Fe 0.000 0.000 0.000
Fe2 Fe 0.000 0.000 0.500
O1 O 0.026 0.338 0.626
O2 O 0.026 0.688 0.874
O3 O 0.312 0.338 0.874
O4 O 0.312 0.974 0.626
O5 O 0.338 0.026 0.126
O6 O 0.338 0.312 0.374
O7 O 0.662 0.688 0.626
O8 O 0.662 0.974 0.874
O9 O 0.688 0.026 0.374
O10 O 0.688 0.662 0.126
O11 O 0.974 0.312 0.126
O12 O 0.974 0.662 0.374
```

Record 3
Below is Ho2FeO5 after structural relaxation, with properties calculated at the GGA+U level.

Properties
N(E_F) = 0.26 states/eV per atom
Total energy = -7.62 eV per atom
Total magnetization = 0.4979 μB per atom

CIF file:
```
data_Ho2FeO5
_chemical_formula_sum 'Ho8 Fe4 O20'
_space_group_name_H-M_alt 'P 1'
_space_group_IT_number 1
_cell_length_a 10.361
_cell_length_b 3.687
_cell_length_c 11.256
_cell_angle_alpha 90.00
_cell_angle_beta 90.00
_cell_angle_gamma 90.00
loop_
_space_group_symop_operation_xyz
'x,y,z'
loop_
_atom_site_label
_atom_site_type_symbol
_atom_site_fract_x
_atom_site_fract_y
_atom_site_fract_z
Ho1 Ho 0.103 0.250 0.222
Ho2 Ho 0.136 0.250 0.558
Ho3 Ho 0.364 0.750 0.058
Ho4 Ho 0.397 0.750 0.722
Ho5 Ho 0.603 0.250 0.278
Ho6 Ho 0.636 0.250 0.942
Ho7 Ho 0.864 0.750 0.442
Ho8 Ho 0.897 0.750 0.778
Fe1 Fe 0.185 0.250 0.878
Fe2 Fe 0.315 0.750 0.378
Fe3 Fe 0.685 0.250 0.622
Fe4 Fe 0.815 0.750 0.122
O1 O 0.012 0.750 0.602
O2 O 0.013 0.250 0.834
O3 O 0.218 0.250 0.042
O4 O 0.239 0.750 0.226
O5 O 0.248 0.750 0.882
O6 O 0.252 0.250 0.382
O7 O 0.261 0.250 0.726
O8 O 0.282 0.750 0.542
O9 O 0.487 0.750 0.334
O10 O 0.488 0.250 0.102
O11 O 0.512 0.750 0.898
O12 O 0.513 0.250 0.666
O13 O 0.718 0.250 0.458
O14 O 0.739 0.750 0.274
O15 O 0.748 0.750 0.618
O16 O 0.752 0.250 0.118
O17 O 0.761 0.250 0.774
O18 O 0.782 0.750 0.958
O19 O 0.987 0.750 0.166
O20 O 0.988 0.250 0.398
```

> Among the records above, which one has the lowest total energy?

HoNpFeO6

> total magnetization of number 3 (Ho2FeO5)?

0.4979 μB per atom